Here is PmSi4Tc9 after structural relaxation from Alexandria. Energies are from PBE-GGA.

Output
V	15.7	Å³ per atom
symmetry	I4/mcm, No. 140
calculated total energy	-123.926	eV/f.u.
total moment	0.000	μB/f.u.
DOS(E_F)	30.98	states/eV/cell
E_form (uncorrected)	-28.9	kJ per mole of atoms

Cell: 8.349 8.349 8.639 Å, 118.90 118.90 90.00°
Fractional positions:
Tc (0.310, 0.548, 0.357)
Tc (0.934, 0.809, 0.000)
Pm (0.250, 0.250, 0.500)
Tc (0.000, 0.500, 0.000)
Si (0.705, 0.205, 0.744)
Tc (0.809, 0.066, 0.000)
Tc (0.810, 0.310, 0.357)
Si (0.039, 0.539, 0.744)
Tc (0.500, 0.000, 0.000)
Si (0.961, 0.461, 0.256)
Tc (0.566, 0.309, 0.000)
Tc (0.309, 0.434, 0.000)
Tc (0.952, 0.190, 0.643)
Tc (0.191, 0.934, 0.000)
Si (0.795, 0.961, 0.256)
Si (0.539, 0.705, 0.744)
Tc (0.690, 0.452, 0.643)
Tc (0.548, 0.048, 0.357)
Tc (0.691, 0.566, 0.000)
Tc (0.434, 0.691, 0.000)
Tc (0.066, 0.191, 0.000)
Si (0.205, 0.039, 0.744)
Pm (0.750, 0.750, 0.500)
Tc (0.452, 0.952, 0.643)
Tc (0.048, 0.810, 0.357)
Si (0.295, 0.795, 0.256)
Si (0.461, 0.295, 0.256)
Tc (0.190, 0.690, 0.643)

Here is Ce3SiPd5 after structural relaxation from Alexandria. Energies are from PBE-GGA.

Output
V	20.1	Å³ per atom
symmetry	Imma, No. 74
calculated total energy	-56.499	eV/f.u.
total moment	1.854	μB/f.u.
DOS(E_F)	34.26	states/eV/cell
E_form (uncorrected)	-78.4	kJ per mole of atoms

Cell: 8.389 8.389 8.389 Å, 128.44 126.38 77.59°
Last column: magnetic moment on the atom in μB.
Fractional positions:
Ce (0.381, 0.250, 0.131)  0.61
Si (0.219, 0.750, 0.469)  -0.01
Pd (0.542, 0.307, 0.640)  -0.02
Pd (0.167, 0.807, 0.766)  -0.02
Pd (0.833, 0.598, 0.640)  -0.02
Pd (0.833, 0.193, 0.234)  -0.02
Pd (0.000, 0.000, 0.500)  -0.01
Ce (0.776, 0.550, 0.226)  0.54
Ce (0.224, 0.450, 0.774)  0.54
Pd (0.000, 0.500, 0.000)  -0.01
Pd (0.542, 0.902, 0.234)  -0.02
Pd (0.458, 0.098, 0.766)  -0.02
Ce (0.619, 0.750, 0.869)  0.61
Pd (0.167, 0.402, 0.360)  -0.02
Si (0.781, 0.250, 0.531)  -0.01
Ce (0.824, 0.050, 0.774)  0.54
Pd (0.458, 0.693, 0.360)  -0.02
Ce (0.176, 0.950, 0.226)  0.54

Here is KSnAs2Br after structural relaxation from Alexandria. Energies are from PBE-GGA.

Output
V	34.6	Å³ per atom
symmetry	P4/mmm, No. 123
calculated total energy	-16.259	eV/f.u.
total moment	0.946	μB/f.u.
DOS(E_F)	3.53	states/eV/cell
E_form (uncorrected)	-3.6	kJ per mole of atoms

Cell: 5.282 5.282 6.202 Å, 90.00 90.00 90.00°
Last column: magnetic moment on the atom in μB.
Fractional positions:
As (0.500, 0.000, 0.000)  0.20
Sn (0.000, 0.000, 0.000)  -0.01
Br (0.000, 0.000, 0.500)  0.05
K (0.500, 0.500, 0.500)  0.00
As (0.000, 0.500, 0.000)  0.20

Here is Ca5Cu after structural relaxation from Alexandria. Energies are from PBE-GGA.

Output
ΔH_f (0 K)	0.05	eV/f.u.
V	35.4	Å³ per atom
symmetry	Cm, No. 8
calculated total energy	-14.057	eV/f.u.
total moment	0.000	μB/f.u.
DOS(E_F)	5.78	states/eV/cell

Cell: 6.826 6.826 9.198 Å, 69.44 69.44 32.21°
Fractional positions:
Cu (0.695, 0.695, 0.111)
Ca (0.021, 0.021, 0.401)
Ca (0.694, 0.694, 0.611)
Ca (0.368, 0.368, 0.821)
Ca (0.071, 0.071, 0.987)
Ca (0.318, 0.318, 0.235)

Here is ZrGaPb after structural relaxation from Alexandria. Energies are from PBE-GGA.

Output
ΔH_f (0 K)	-0.50	eV/f.u.
V	23.0	Å³ per atom
symmetry	C2/m, No. 12
calculated total energy	-15.787	eV/f.u.
total moment	0.000	μB/f.u.
DOS(E_F)	6.53	states/eV/cell

Cell: 6.623 4.151 10.170 Å, 90.00 99.47 90.00°
Fractional positions:
Zr (0.617, 0.000, 0.157)
Zr (0.383, 0.000, 0.843)
Ga (0.669, 0.000, 0.460)
Ga (0.331, 0.500, 0.040)
Pb (0.111, 0.500, 0.655)
Zr (0.383, 0.500, 0.343)
Zr (0.617, 0.500, 0.657)
Pb (0.111, 0.000, 0.155)
Pb (0.889, 0.000, 0.845)
Ga (0.331, 0.000, 0.540)
Ga (0.669, 0.500, 0.960)
Pb (0.889, 0.500, 0.345)

Here is MgCuBr2 after structural relaxation from Alexandria. Energies are from PBE-GGA.

Output
V	24.9	Å³ per atom
symmetry	Immm, No. 71
calculated total energy	-10.133	eV/f.u.
total moment	0.000	μB/f.u.
DOS(E_F)	1.40	states/eV/cell
E_form (uncorrected)	-26.4	kJ per mole of atoms

Cell: 5.454 5.454 5.454 Å, 138.69 102.75 91.61°
Fractional positions:
Br (0.992, 0.992, 0.000)
Cu (0.750, 0.250, 0.500)
Mg (0.250, 0.750, 0.500)
Br (0.508, 0.508, 0.000)

Here is HgPRu after structural relaxation from Alexandria. Energies are from PBE-GGA.

Output
ΔH_f (0 K)	-0.10	eV/f.u.
V	17.9	Å³ per atom
symmetry	P3m1, No. 156
calculated total energy	-15.084	eV/f.u.
total moment	0.000	μB/f.u.
DOS(E_F)	0.96	states/eV/cell

Cell: 3.060 3.060 6.621 Å, 90.00 90.00 120.00°
Fractional positions:
P (0.667, 0.333, 0.398)
Hg (0.000, 0.000, 0.981)
Ru (0.333, 0.667, 0.621)

Here is MgGa2W2 after structural relaxation from Alexandria. Energies are from PBE-GGA.

Output
ΔH_f (0 K)	1.59	eV/f.u.
V	16.1	Å³ per atom
symmetry	P4/mbm, No. 127
calculated total energy	-31.963	eV/f.u.
total moment	0.000	μB/f.u.
DOS(E_F)	12.11	states/eV/cell

Cell: 6.818 6.818 3.458 Å, 90.00 90.00 90.00°
Fractional positions:
W (0.663, 0.837, 0.500)
Mg (0.000, 0.000, 0.000)
W (0.337, 0.163, 0.500)
Ga (0.133, 0.367, 0.000)
Ga (0.367, 0.867, 0.000)
W (0.163, 0.663, 0.500)
Ga (0.633, 0.133, 0.000)
Ga (0.867, 0.633, 0.000)
W (0.837, 0.337, 0.500)
Mg (0.500, 0.500, 0.000)

Here is CaCoHg2 after structural relaxation from Alexandria. Energies are from PBE-GGA.

Output
ΔH_f (0 K)	0.17	eV/f.u.
V	22.6	Å³ per atom
symmetry	C2/m, No. 12
calculated total energy	-9.538	eV/f.u.
total moment	1.085	μB/f.u.
DOS(E_F)	6.11	states/eV/cell

Cell: 4.555 4.555 5.693 Å, 66.68 66.68 59.52°
Last column: magnetic moment on the atom in μB.
Fractional positions:
Ca (0.750, 0.750, 0.750)  -0.03
Hg (0.969, 0.969, 0.092)  -0.02
Co (0.250, 0.250, 0.250)  1.28
Hg (0.531, 0.531, 0.408)  -0.02

Here is BaAg3Sn after structural relaxation from Alexandria. Energies are from PBE-GGA.

Output
ΔH_f (0 K)	4.90	eV/f.u.
V	40.8	Å³ per atom
symmetry	Pm-3m, No. 221
calculated total energy	-9.581	eV/f.u.
total moment	0.000	μB/f.u.
DOS(E_F)	4.15	states/eV/cell

Cell: 5.887 5.887 5.887 Å, 90.00 90.00 90.00°
Fractional positions:
Ag (0.500, 0.000, 0.000)
Ba (0.000, 0.000, 0.000)
Ag (0.000, 0.500, 0.000)
Sn (0.500, 0.500, 0.500)
Ag (0.000, 0.000, 0.500)

Here is KLi2Rh after structural relaxation from Alexandria. Energies are from PBE-GGA.

Output
ΔH_f (0 K)	1.42	eV/f.u.
V	18.5	Å³ per atom
symmetry	C2/m, No. 12
calculated total energy	-10.860	eV/f.u.
total moment	0.000	μB/f.u.
DOS(E_F)	2.49	states/eV/cell

Cell: 4.879 4.879 3.105 Å, 90.19 90.19 91.03°
Fractional positions:
Li (0.000, 0.000, 0.000)
Rh (0.500, 0.000, 0.500)
K (0.000, 0.500, 0.500)
Li (0.500, 0.500, 0.000)

Here is Mn2CrGeN after structural relaxation from Alexandria. Energies are from PBE-GGA.

Output
V	11.0	Å³ per atom
symmetry	P4/mmm, No. 123
calculated total energy	-42.110	eV/f.u.
total moment	2.356	μB/f.u.
DOS(E_F)	2.89	states/eV/cell
E_form (uncorrected)	-23.2	kJ per mole of atoms

Cell: 3.770 3.770 3.875 Å, 90.00 90.00 90.00°
Last column: magnetic moment on the atom in μB.
Fractional positions:
Ge (0.500, 0.500, 0.500)  -0.07
Mn (0.500, 0.000, 0.000)  1.36
Mn (0.000, 0.500, 0.000)  1.36
Cr (0.000, 0.000, 0.500)  -0.25
N (0.000, 0.000, 0.000)  -0.06